# 1
Here is crystalline CeLuAlOs at its relaxed geometry from the Alexandria database. Energies are from PBE.

Unit cell a=4.9296 b=4.9296 c=4.9296 alpha=60.00 beta=60.00 gamma=60.00
Atoms (fractional coordinates):
Ce 0.5000 0.5000 0.5000
Al 0.7500 0.7500 0.7500
Os 0.2500 0.2500 0.2500
Lu 0.0000 0.0000 0.0000

The value obtained for the total magnetic moment is 0.001 μB/cell. As for the density of states at the Fermi level: 3.160 states/eV/f.u. The calculated formation energy comes out at -0.98 eV per formula unit. As for the symmetry: F-43m (216). The calculated volume comes out at 84.7 Å³ per cell.

---

# 2
Here is crystalline CrHPdPt2 at its relaxed geometry from the Alexandria database. Energies are from PBE.

Unit cell a=3.9435 b=3.9435 c=4.0658 alpha=90.00 beta=90.00 gamma=90.00
Atoms (fractional coordinates):
Pd 0.5000 0.5000 0.5000
Pt 0.0000 0.5000 0.0000
Pt 0.5000 0.0000 0.0000
Cr 0.0000 0.0000 0.5000
H 0.0000 0.0000 0.0000

Its energy relative to the lowest polymorph listed for this composition is 0.05 eV per formula unit. The value obtained for the total magnetic moment is 3.358 μB/cell. As for the density of states at the Fermi level: 5.330 states/eV/f.u. As for the symmetry: P4/mmm (123). The calculated volume comes out at 63.2 Å³ per cell.

---

# 3
Here is crystalline Os3Rh at its relaxed geometry from the Alexandria database. Energies are from PBE.

Unit cell a=5.5149 b=5.5054 c=4.3327 alpha=90.00 beta=90.00 gamma=119.94
Atoms (fractional coordinates):
Os 0.5028 0.5027 0.0000
Os 0.3342 0.1671 0.5000
Os 0.8306 0.6639 0.5000
Os 0.5028 0.0000 0.0000
Os 0.8306 0.1666 0.5000
Os 0.9991 0.9995 0.0000
Rh 0.0024 0.5012 0.0000
Rh 0.3310 0.6655 0.5000

The value obtained for the total magnetic moment is 0.000 μB/cell. As for the density of states at the Fermi level: 2.448 states/eV/f.u. The calculated formation energy comes out at 0.11 eV per formula unit. As for the symmetry: Cmcm (63). The calculated volume comes out at 114.0 Å³ per cell.

---

# 4
Here is crystalline K3SmSb2O9 at its relaxed geometry from the Alexandria database. Energies are from PBE.

Unit cell a=5.9355 b=5.9355 c=7.3692 alpha=90.00 beta=90.00 gamma=120.00
Atoms (fractional coordinates):
O 0.6465 0.8232 0.3102
O 0.0000 0.5000 0.0000
O 0.3535 0.1768 0.6898
O 0.5000 0.0000 0.0000
O 0.1768 0.8232 0.3102
O 0.5000 0.5000 0.0000
O 0.8232 0.1768 0.6898
O 0.1768 0.3535 0.3102
O 0.8232 0.6465 0.6898
Sm 0.0000 0.0000 0.5000
K 0.0000 0.0000 0.0000
K 0.6667 0.3333 0.3322
K 0.3333 0.6667 0.6678
Sb 0.3333 0.6667 0.1565
Sb 0.6667 0.3333 0.8435

The calculation puts the uncorrected formation energy at -1.695 eV per atom. The value obtained for the total magnetic moment is 1.988 μB/cell. As for the density of states at the Fermi level: 9.500 states/eV/f.u. As for the symmetry: P-3m1 (164). The calculated volume comes out at 224.8 Å³ per cell.

---

# 5
Here is crystalline Ca2ZrTi at its relaxed geometry from the Alexandria database. Energies are from PBE.

Unit cell a=5.3801 b=5.3801 c=5.3801 alpha=60.00 beta=60.00 gamma=60.00
Atoms (fractional coordinates):
Zr 0.5000 0.5000 0.5000
Ca 0.2500 0.2500 0.2500
Ca 0.7500 0.7500 0.7500
Ti 0.0000 0.0000 0.0000

Its energy relative to the lowest polymorph listed for this composition is 0.00 eV per formula unit. The value obtained for the total magnetic moment is 0.000 μB/cell. As for the density of states at the Fermi level: 6.505 states/eV/f.u. The calculated formation energy comes out at 2.86 eV per formula unit. As for the symmetry: Fm-3m (225). The calculated volume comes out at 110.1 Å³ per cell.

---

# 6
Here is crystalline ZrBeAg at its relaxed geometry from the Alexandria database. Energies are from PBE.

Unit cell a=4.4476 b=4.4476 c=4.4476 alpha=60.00 beta=60.00 gamma=60.00
Atoms (fractional coordinates):
Zr 0.7500 0.7500 0.7500
Be 0.5000 0.5000 0.5000
Ag 0.0000 0.0000 0.0000

Its energy relative to the lowest polymorph listed for this composition is 2.85 eV per formula unit. The value obtained for the total magnetic moment is 0.000 μB/cell. As for the density of states at the Fermi level: 2.450 states/eV/f.u. The calculated formation energy comes out at 2.34 eV per formula unit. As for the symmetry: F-43m (216). The calculated volume comes out at 62.2 Å³ per cell.

---

# 7
Here is crystalline Rb4DyCl7 at its relaxed geometry from the Alexandria database. Energies are from PBE.

Unit cell a=5.3261 b=8.7503 c=12.5247 alpha=60.38 beta=77.72 gamma=72.28
Atoms (fractional coordinates):
Rb 0.2467 0.1860 0.3207
Rb 0.7533 0.8140 0.6793
Rb 0.4899 0.3198 0.7004
Rb 0.5101 0.6802 0.2996
Cl 0.1072 0.6462 0.1393
Cl 0.5000 0.0000 0.0000
Cl 0.8846 0.0230 0.2077
Cl 0.8928 0.3538 0.8607
Cl 0.1154 0.9770 0.7923
Cl 0.3545 0.7533 0.5377
Cl 0.6455 0.2467 0.4623
Dy 0.0000 0.0000 0.0000

The calculation puts the uncorrected formation energy at -2.063 eV per atom. The value obtained for the total magnetic moment is 0.338 μB/cell. As for the density of states at the Fermi level: 0.000 states/eV/f.u. As for the symmetry: C2/m (12). The calculated volume comes out at 482.0 Å³ per cell.

---

# 8
Here is crystalline Tb2PrSmS6 at its relaxed geometry from the Alexandria database. Energies are from PBE.

Unit cell a=7.0677 b=7.0676 c=7.4456 alpha=61.66 beta=61.66 gamma=59.99
Atoms (fractional coordinates):
S 0.1333 0.3972 0.7471
S 0.6236 0.2233 0.2464
S 0.2233 0.9067 0.2464
S 0.9068 0.6236 0.2464
S 0.7225 0.1333 0.7471
S 0.3971 0.7224 0.7470
Pr 0.8094 0.8094 0.5717
Sm 0.3128 0.3128 0.0615
Tb 0.0154 0.0155 0.9537
Tb 0.5174 0.5174 0.4478

The calculation puts the uncorrected formation energy at -2.037 eV per atom. The value obtained for the total magnetic moment is 0.000 μB/cell. As for the density of states at the Fermi level: 0.000 states/eV/f.u. As for the symmetry: R3 (146). The calculated volume comes out at 269.4 Å³ per cell.

---

# 9
Here is crystalline Sm3Ni8Sn at its relaxed geometry from the Alexandria database. Energies are from PBE.

Unit cell a=5.0938 b=5.0938 c=8.8082 alpha=73.19 beta=73.19 gamma=60.00
Atoms (fractional coordinates):
Sm 0.9950 0.9950 0.0151
Sm 0.3761 0.3761 0.8718
Sm 0.5035 0.5035 0.4894
Ni 0.9383 0.9383 0.6843
Ni 0.1885 0.1885 0.4346
Ni 0.4390 0.9383 0.6843
Ni 0.9383 0.4390 0.6843
Ni 0.9384 0.4368 0.1879
Ni 0.6885 0.6885 0.9345
Ni 0.4368 0.9384 0.1879
Ni 0.4368 0.4368 0.1879
Sn 0.8707 0.8707 0.3879

The value obtained for the total magnetic moment is 0.000 μB/cell. As for the density of states at the Fermi level: 10.498 states/eV/f.u. The calculated formation energy comes out at -4.25 eV per formula unit. As for the symmetry: R3m (160). The calculated volume comes out at 186.6 Å³ per cell.

---

# 10
Here is crystalline TbMo4 at its relaxed geometry from the Alexandria database. Energies are from PBE.

Unit cell a=4.6928 b=4.6928 c=4.6928 alpha=90.00 beta=90.00 gamma=90.00
Atoms (fractional coordinates):
Mo 0.5000 0.5000 0.0000
Mo 0.0000 0.0000 0.0000
Mo 0.0000 0.5000 0.5000
Mo 0.5000 0.0000 0.5000
Tb 0.5000 0.5000 0.5000

The value obtained for the total magnetic moment is 0.000 μB/cell. As for the density of states at the Fermi level: 5.333 states/eV/f.u. The calculated formation energy comes out at 13.22 eV per formula unit. As for the symmetry: Pm-3m (221). The calculated volume comes out at 103.3 Å³ per cell.

---

# 11
Here is crystalline SrN4O12 at its relaxed geometry from the Alexandria database. Energies are from PBE.

Unit cell a=6.0410 b=6.0410 c=6.0410 alpha=109.47 beta=109.47 gamma=109.47
Atoms (fractional coordinates):
N 0.0000 0.5000 0.0000
N 0.0000 0.0000 0.5000
N 0.5000 0.5000 0.5000
N 0.5000 0.0000 0.0000
O 0.2133 0.3022 0.5155
O 0.0889 0.7867 0.3022
O 0.6978 0.4845 0.7867
O 0.7867 0.6978 0.4845
O 0.9111 0.2133 0.6978
O 0.5155 0.2133 0.3022
O 0.3022 0.5155 0.2133
O 0.2133 0.6978 0.9111
O 0.4845 0.7867 0.6978
O 0.7867 0.3022 0.0889
O 0.6978 0.9111 0.2133
O 0.3022 0.0889 0.7867
Sr 0.0000 0.0000 0.0000

The calculation puts the uncorrected formation energy at 1.507 eV per atom. The value obtained for the total magnetic moment is 8.532 μB/cell. As for the density of states at the Fermi level: 11.705 states/eV/f.u. As for the symmetry: Im-3 (204). The calculated volume comes out at 169.7 Å³ per cell.

---

# 12
Here is crystalline Sr2InBi at its relaxed geometry from the Alexandria database. Energies are from PBE.

Unit cell a=5.8342 b=5.8342 c=5.8342 alpha=60.00 beta=60.00 gamma=60.00
Atoms (fractional coordinates):
Bi 0.5000 0.5000 0.5000
In 0.0000 0.0000 0.0000
Sr 0.2500 0.2500 0.2500
Sr 0.7500 0.7500 0.7500

Its energy relative to the lowest polymorph listed for this composition is 0.17 eV per formula unit. The value obtained for the total magnetic moment is 0.000 μB/cell. As for the density of states at the Fermi level: 3.082 states/eV/f.u. The calculated formation energy comes out at -2.27 eV per formula unit. As for the symmetry: Fm-3m (225). The calculated volume comes out at 140.4 Å³ per cell.

---

Question: The highest density of states at the Fermi level belongs to which entry?
Answer: SrN4O12

---

Question: Which of these has the highest total magnetic moment?
Answer: SrN4O12

---

Copy entry 4 word for word.
Here is crystalline K3SmSb2O9 at its relaxed geometry from the Alexandria database. Energies are from PBE.

Unit cell a=5.9355 b=5.9355 c=7.3692 alpha=90.00 beta=90.00 gamma=120.00
Atoms (fractional coordinates):
O 0.6465 0.8232 0.3102
O 0.0000 0.5000 0.0000
O 0.3535 0.1768 0.6898
O 0.5000 0.0000 0.0000
O 0.1768 0.8232 0.3102
O 0.5000 0.5000 0.0000
O 0.8232 0.1768 0.6898
O 0.1768 0.3535 0.3102
O 0.8232 0.6465 0.6898
Sm 0.0000 0.0000 0.5000
K 0.0000 0.0000 0.0000
K 0.6667 0.3333 0.3322
K 0.3333 0.6667 0.6678
Sb 0.3333 0.6667 0.1565
Sb 0.6667 0.3333 0.8435

The calculation puts the uncorrected formation energy at -1.695 eV per atom. The value obtained for the total magnetic moment is 1.988 μB/cell. As for the density of states at the Fermi level: 9.500 states/eV/f.u. As for the symmetry: P-3m1 (164). The calculated volume comes out at 224.8 Å³ per cell.

---

Question: What is the formula in the fifth record?
Answer: Ca2ZrTi